PmPa2S5 after structural relaxation, computed with PBE-GGA. Values from VASP.

```
&SYSTEM
  ibrav = 0, nat = 16, ntyp = 3
/
ATOMIC_SPECIES
S 32.06 S.upf
Pa 231.04 Pa.upf
Pm 145.00 Pm.upf
CELL_PARAMETERS angstrom
-6.2991 -2.5799 2.8283
3.7920 -4.9519 3.9285
1.7084 7.9344 1.4369
ATOMIC_POSITIONS angstrom
S 1.6350 -2.4519 4.4098
S 3.0811 3.0782 3.0694
S -1.4400 -0.4588 2.9749
S -0.8048 -4.6687 6.5593
S -1.2536 -3.7659 3.3784
S 0.0000 0.0000 0.0000
S 0.0061 5.0713 1.6345
S -3.8798 -2.6756 5.1244
S 0.6413 0.8614 5.2188
S -2.4337 2.8545 3.7839
Pa -2.8597 -5.4186 4.9608
Pa 0.3526 -2.1131 1.7960
Pa 1.0259 -5.0899 4.3092
Pa -3.5330 -2.4419 2.4476
Pm -1.0261 -1.6816 5.7861
Pm 0.2274 2.0842 2.4077
```

## Properties
* crystal system: tetragonal
* DFT total energy: -0.5319 Ry/atom
* formation energy from raw total energies: -1.690 eV per atom
* energy above the lowest structure with this stoichiometry: 0.041 eV/atom
* size of the total moment: 2.87 μB per formula unit
* symmetry: I4/mcm, No. 140